Here is a relaxed structure of Zr6OsO from the Alexandria database. Energies are from PBE.

Properties
- Final energy: -9.22 eV per atom
- Density of states at the Fermi level: 4.11 states/eV/cell
- Energy relative to the elements, uncorrected: -0.788 eV per atom

Unit cell a=5.0624 b=5.8839 c=5.7606 alpha=81.56 beta=89.56 gamma=66.62
With the nearest neighbours (Å) after each atom.
Fractional positions:
Zr  0.0734  0.3539  0.7776  1 O 2.44
Zr  0.7633  0.9875  0.6688  1 O 2.29
Zr  0.5967  0.2594  0.1284  1 O 2.21
Zr  0.2367  0.0125  0.3312  1 O 2.29
Zr  0.9266  0.6461  0.2224  1 O 2.44
Zr  0.4033  0.7406  0.8716  1 O 2.21
Os  0.5000  0.5000  0.5000  4 Zr 2.67-2.79
O  0.0000  0.0000  0.0000  6 Zr 2.21-2.44